{"formula": "BaNiW", "functional": "PBE", "state": "relaxed", "lattice": [[4.2076, 0.0000, 0.0000], [0.0032, 4.3034, 0.0000], [0.0040, 0.3140, 9.1121]], "species": ["Ba", "Ba", "Ni", "Ni", "W", "W"], "frac_coords": [[0.0000, 0.0000, 0.0000], [0.4990, 0.5128, 0.6195], [0.0008, 0.5330, 0.3080], [0.5011, 0.4456, 0.1626], [0.4996, 0.9456, 0.2881], [0.9991, 0.0449, 0.4333]], "e_form_ev_per_atom": 0.510, "space_group": "P1 (1)", "polymorph_energy_mev_per_atom": 190.3}

{"formula": "Ag2Rh3", "functional": "PBE", "state": "relaxed", "lattice": [[-1.3763, 1.3763, 10.3346], [1.3763, -1.3763, 10.3346], [1.3763, 1.3763, -10.3346]], "species": ["Ag", "Ag", "Rh", "Rh", "Rh"], "frac_coords": [[0.1026, 0.1026, 0.0000], [0.8974, 0.8974, 0.0000], [0.2930, 0.2930, 0.0000], [0.5000, 0.5000, 0.0000], [0.7070, 0.7070, 0.0000]], "e_form_ev_per_atom": 0.252, "space_group": "I4/mmm (139)", "polymorph_energy_mev_per_atom": 130.2}

{"formula": "CePaBi2", "functional": "PBE", "state": "relaxed", "lattice": [[3.8797, 0.0000, 0.0000], [0.0000, 3.8797, 0.0000], [0.0000, 0.0000, 7.8035]], "species": ["Ce", "Pa", "Bi", "Bi"], "frac_coords": [[0.0000, 0.0000, 0.0000], [0.0000, 0.0000, 0.5000], [0.5000, 0.5000, 0.2573], [0.5000, 0.5000, 0.7427]], "e_form_ev_per_atom": -0.367, "space_group": "P4/mmm (123)", "polymorph_energy_mev_per_atom": 0.0}

{"formula": "Tl4PdBr6", "functional": "PBE", "state": "relaxed", "lattice": [[8.7721, 0.0000, 0.0000], [0.0000, 8.7721, 0.0000], [0.0000, 0.0000, 9.5563]], "species": ["Tl", "Tl", "Tl", "Tl", "Tl", "Tl", "Tl", "Tl", "Pd", "Pd", "Br", "Br", "Br", "Br", "Br", "Br", "Br", "Br", "Br", "Br", "Br", "Br"], "frac_coords": [[0.1555, 0.3445, 0.2500], [0.1555, 0.3445, 0.7500], [0.3445, 0.8445, 0.2500], [0.3445, 0.8445, 0.7500], [0.6555, 0.1555, 0.2500], [0.6555, 0.1555, 0.7500], [0.8445, 0.6555, 0.2500], [0.8445, 0.6555, 0.7500], [0.0000, 0.0000, 0.0000], [0.5000, 0.5000, 0.5000], [0.0000, 0.0000, 0.2813], [0.0000, 0.0000, 0.7187], [0.1252, 0.7148, 0.0000], [0.2148, 0.6252, 0.5000], [0.2852, 0.1252, 0.0000], [0.3748, 0.2148, 0.5000], [0.5000, 0.5000, 0.2187], [0.5000, 0.5000, 0.7813], [0.6252, 0.7852, 0.5000], [0.7148, 0.8748, 0.0000], [0.7852, 0.3748, 0.5000], [0.8748, 0.2852, 0.0000]], "e_form_raw_kj_per_mol_fu": -700, "space_group": "P4/mnc (128)"}

{"formula": "ScCuW2", "functional": "PBE", "state": "relaxed", "lattice": [[2.7340, 0.0000, 0.0000], [0.0000, 2.7340, 0.0000], [0.0000, 0.0000, 8.6585]], "species": ["Sc", "Cu", "W", "W"], "frac_coords": [[0.0000, 0.0000, 0.0000], [0.0000, 0.0000, 0.5000], [0.5000, 0.5000, 0.2747], [0.5000, 0.5000, 0.7253]], "e_form_ev_per_atom": 0.302, "space_group": "P4/mmm (123)", "polymorph_energy_mev_per_atom": 144.4}

{"formula": "Pm2CdPd", "functional": "PBE", "state": "relaxed", "lattice": [[0.0000, 3.7152, 3.7152], [3.7152, 0.0000, 3.7152], [3.7152, 3.7152, 0.0000]], "species": ["Pm", "Pm", "Cd", "Pd"], "frac_coords": [[0.2500, 0.2500, 0.2500], [0.7500, 0.7500, 0.7500], [0.0000, 0.0000, 0.0000], [0.5000, 0.5000, 0.5000]], "e_form_ev_per_atom": -0.487, "space_group": "Fm-3m (225)", "polymorph_energy_mev_per_atom": 54.0}

{"formula": "Zr2CoRe", "functional": "PBE", "state": "relaxed", "lattice": [[1.5909, 0.9185, 8.0842], [-1.5909, 0.9185, 8.0842], [0.0000, -1.8371, 8.0842]], "species": ["Zr", "Zr", "Co", "Re"], "frac_coords": [[0.2464, 0.2464, 0.2464], [0.7536, 0.7536, 0.7536], [0.5000, 0.5000, 0.5000], [0.0000, 0.0000, 0.0000]], "e_form_ev_per_atom": 0.104, "space_group": "R-3m (166)"}

{"formula": "AcPm2DyP4", "functional": "PBE", "state": "relaxed", "lattice": [[7.2504, 0.0000, 0.0000], [0.0000, 4.1867, 0.0000], [-2.4030, 0.0000, 6.8412]], "species": ["Ac", "Pm", "Pm", "Dy", "P", "P", "P", "P"], "frac_coords": [[0.0000, 0.0000, 0.0000], [0.0000, 0.5000, 0.5000], [0.5000, 0.0000, 0.5000], [0.5000, 0.5000, 0.0000], [0.2600, 0.0000, 0.7498], [0.2636, 0.5000, 0.2583], [0.7364, 0.5000, 0.7417], [0.7400, 0.0000, 0.2502]], "e_form_ev_per_atom": -1.505, "space_group": "P2/m (10)"}